1.
A relaxed TeRu2Au2 crystal, computed with PBE.

Geometry as CIF:
```
data_TeRu2Au2
_chemical_formula_sum 'Te1 Ru2 Au2'
_cell_length_a 3.618
_cell_length_b 3.618
_cell_length_c 7.806
_cell_angle_alpha 76.60
_cell_angle_beta 76.60
_cell_angle_gamma 90.00
_symmetry_space_group_name_H-M 'P 1'
_symmetry_Int_Tables_number 1
_symmetry_space_group_name_Hall 'P 1'
loop_
_atom_site_label
_atom_site_fract_x
_atom_site_fract_y
_atom_site_fract_z
Au1 0.606 0.606 0.788
Au2 0.394 0.394 0.212
Ru1 0.750 0.250 0.500
Ru2 0.250 0.750 0.500
Te1 0.000 0.000 0.000
```

Results
- energy (eV for the cell shown) = -25.1
- SG = I4/mmm
- density of states at the Fermi level (states/eV/f.u.) = 5.1
- relative energy among the computed polymorphs (meV per atom) = 0
- formation energy (no corrections) (meV per atom) = 637.2

***

2.
A relaxed TeRu2Au crystal, computed with PBE.

Geometry as CIF:
```
data_TeRu2Au
_chemical_formula_sum 'Te1 Ru2 Au1'
_cell_length_a 8.425
_cell_length_b 8.425
_cell_length_c 8.425
_cell_angle_alpha 21.38
_cell_angle_beta 21.38
_cell_angle_gamma 21.38
_symmetry_space_group_name_H-M 'P 1'
_symmetry_Int_Tables_number 1
_symmetry_space_group_name_Hall 'P 1'
loop_
_atom_site_label
_atom_site_fract_x
_atom_site_fract_y
_atom_site_fract_z
Au1 0.750 0.750 0.750
Ru1 0.994 0.994 0.994
Ru2 0.506 0.506 0.506
Te1 0.250 0.250 0.250
```

Results
- energy (eV for the cell shown) = -23.1
- SG = R-3m
- density of states at the Fermi level (states/eV/f.u.) = 4.4
- formation energy (no corrections) (meV per atom) = 467.8

***

3.
A relaxed TeRuAu2 crystal, computed with PBE.

Geometry as CIF:
```
data_TeRuAu2
_chemical_formula_sum 'Te1 Ru1 Au2'
_cell_length_a 5.088
_cell_length_b 5.088
_cell_length_c 5.088
_cell_angle_alpha 130.77
_cell_angle_beta 130.77
_cell_angle_gamma 72.18
_symmetry_space_group_name_H-M 'P 1'
_symmetry_Int_Tables_number 1
_symmetry_space_group_name_Hall 'P 1'
loop_
_atom_site_label
_atom_site_fract_x
_atom_site_fract_y
_atom_site_fract_z
Ru1 0.500 0.500 0.000
Au1 0.000 0.000 0.000
Au2 0.250 0.750 0.500
Te1 0.750 0.250 0.500
```

Results
- energy (eV for the cell shown) = -17.4
- SG = I-4m2
- density of states at the Fermi level (states/eV/f.u.) = 2.2
- formation energy (no corrections) (meV per atom) = 401.4

***

4.
A relaxed TeRu2Au crystal, computed with PBE.

Geometry as CIF:
```
data_TeRu2Au
_chemical_formula_sum 'Te1 Ru2 Au1'
_cell_length_a 4.679
_cell_length_b 3.103
_cell_length_c 4.821
_cell_angle_alpha 89.99
_cell_angle_beta 90.00
_cell_angle_gamma 90.00
_symmetry_space_group_name_H-M 'P 1'
_symmetry_Int_Tables_number 1
_symmetry_space_group_name_Hall 'P 1'
loop_
_atom_site_label
_atom_site_fract_x
_atom_site_fract_y
_atom_site_fract_z
Ru1 0.500 0.375 0.209
Ru2 0.000 0.875 0.061
Te1 0.000 0.375 0.493
Au1 0.500 0.875 0.737
```

Results
- energy (eV for the cell shown) = -23.2
- SG = Pmm2
- density of states at the Fermi level (states/eV/f.u.) = 3.8
- formation energy (no corrections) (meV per atom) = 450.6